[1]
A plane-wave DFT calculation with GGA-PBE was carried out for a geometry-optimized NaTlAg2Br8 structure.

Lattice parameters (Å, degrees): 8.0747 8.0747 8.0747 109.55 109.55 109.32
Last column: nearest neighbours and their distance in Å.
Sites, in units of the cell vectors:
Na (0.0000, 0.0000, 0.0000)  8 Br 2.98-3.30
Tl (0.7500, 0.2500, 0.5000)  4 Br 2.87
Ag (0.2500, 0.7500, 0.5000)  4 Br 2.58
Ag (0.5000, 0.5000, 0.0000)  4 Br 2.64
Br (0.0426, 0.3596, 0.3170)  1 Ag 2.58
Br (0.0426, 0.7256, 0.6830)  1 Ag 2.58
Br (0.0995, 0.2949, 0.8046)  1 Ag 2.64, 1 Tl 2.87
Br (0.2744, 0.9574, 0.3170)  1 Ag 2.58
Br (0.4904, 0.2949, 0.1954)  1 Ag 2.64, 1 Tl 2.87
Br (0.6404, 0.9574, 0.6830)  1 Ag 2.58
Br (0.7051, 0.5096, 0.8046)  1 Ag 2.64, 1 Tl 2.87
Br (0.7051, 0.9005, 0.1954)  1 Ag 2.64, 1 Tl 2.87

- Crystal system: tetragonal
- Final energy: -0.083 Ha/atom
- SG: I-4m2, No. 119
- Calculated volume: 405 Å³/f.u.
- Formation energy (no corrections): -0.361 eV/atom


[2]
A plane-wave DFT calculation with GGA-PBE was carried out for a geometry-optimized BiSbAsBr2 structure.

Lattice parameters (Å, degrees): 5.4376 5.4376 5.6619 90.00 90.00 90.00
Last column: nearest neighbours and their distance in Å.
Sites, in units of the cell vectors:
Bi (0.0000, 0.0000, 0.0000)  4 As 3.84, 8 Br 3.93
Sb (0.5000, 0.5000, 0.5000)  4 Br 2.72, 2 As 2.83
As (0.5000, 0.5000, 0.0000)  2 Sb 2.83
Br (0.0000, 0.5000, 0.5000)  2 Sb 2.72
Br (0.5000, 0.0000, 0.5000)  2 Sb 2.72

- Crystal system: tetragonal
- Final energy: -0.106 Ha/atom
- Energy above the most stable polymorph in this dataset: 0 meV per atom
- SG: P4/mmm, No. 123
- Calculated volume: 167 Å³/f.u.
- Formation energy (no corrections): 0.322 eV/atom


[3]
A plane-wave DFT calculation with GGA-PBE was carried out for a geometry-optimized KZnGa structure.

Lattice parameters (Å, degrees): 6.6286 6.6286 6.6286 148.18 148.18 45.62
Last column: nearest neighbours and their distance in Å.
Sites, in units of the cell vectors:
K (0.0000, 0.0000, 0.0000)  5 Zn 3.47-3.68, 5 Ga 3.50-3.67, 4 K 3.63
Zn (0.2843, 0.2843, 0.0000)  4 Ga 2.71
Ga (0.7139, 0.7139, 0.0000)  4 Zn 2.71

- Crystal system: tetragonal
- Final energy: -0.064 Ha/atom
- Energy above the most stable polymorph in this dataset: 67 meV per atom
- SG: I4mm, No. 107
- Calculated volume: 81 Å³/f.u.


[4]
A plane-wave DFT calculation with GGA-PBE was carried out for a geometry-optimized KIn2Ru structure.

Lattice parameters (Å, degrees): 4.4148 4.4148 7.3711 107.35 107.35 59.94
Last column: nearest neighbours and their distance in Å.
Sites, in units of the cell vectors:
K (0.0000, 0.0000, 0.0000)  6 In 3.58
In (0.2121, 0.2121, 0.6369)  3 Ru 2.72
In (0.7879, 0.7879, 0.3631)  3 Ru 2.72
Ru (0.5000, 0.5000, 0.5000)  6 In 2.72

- Crystal system: monoclinic
- Final energy: -0.139 Ha/atom
- Energy above the most stable polymorph in this dataset: 84 meV per atom
- SG: C2/m, No. 12
- Calculated volume: 117 Å³/f.u.


[5]
A plane-wave DFT calculation with GGA-PBE was carried out for a geometry-optimized Y2Si3Pt4Au structure.

Lattice parameters (Å, degrees): 4.0454 4.0454 11.0828 90.00 90.00 90.00
Last column: nearest neighbours and their distance in Å.
Sites, in units of the cell vectors:
Y (0.0000, 0.5000, 0.2475)  4 Pt 3.02, 4 Si 3.16
Y (0.5000, 0.0000, 0.7525)  4 Pt 3.02, 4 Si 3.16
Si (0.0000, 0.5000, 0.8727)  5 Pt 2.30-2.47
Si (0.5000, 0.0000, 0.1273)  5 Pt 2.30-2.47
Si (0.5000, 0.5000, 0.5000)  4 Pt 2.72, 4 Au 2.86
Pt (0.0000, 0.0000, 0.0000)  4 Si 2.47
Pt (0.0000, 0.5000, 0.6647)  1 Si 2.30
Pt (0.5000, 0.0000, 0.3353)  1 Si 2.30
Pt (0.5000, 0.5000, 0.0000)  4 Si 2.47
Au (0.0000, 0.0000, 0.5000)  4 Pt 2.72, 4 Si 2.86

- Crystal system: tetragonal
- Final energy: -0.243 Ha/atom
- SG: P-4m2, No. 115
- Calculated volume: 181 Å³/f.u.
- Formation energy (no corrections): -0.946 eV/atom


[6]
A plane-wave DFT calculation with GGA-PBE was carried out for a geometry-optimized NdHo3 structure.

Lattice parameters (Å, degrees): 5.0375 5.0375 5.0375 90.00 90.00 90.00
Last column: nearest neighbours and their distance in Å.
Sites, in units of the cell vectors:
Nd (0.0000, 0.0000, 0.0000)  12 Ho 3.56
Ho (0.0000, 0.5000, 0.5000)  8 Ho 3.56, 4 Nd 3.56
Ho (0.5000, 0.0000, 0.5000)  8 Ho 3.56, 4 Nd 3.56
Ho (0.5000, 0.5000, 0.0000)  8 Ho 3.56, 4 Nd 3.56

- Crystal system: cubic
- Final energy: -0.169 Ha/atom
- Energy above the most stable polymorph in this dataset: 10 meV per atom
- SG: Pm-3m, No. 221
- Calculated volume: 128 Å³/f.u.


- The highest final energy belongs to which entry?
  KZnGa


- What is the formula in the sixth record?
  NdHo3